Density functional theory data (PBE-GGA) for a geometry-optimized CuMoAs structure.

The structure belongs to space group P3m1 (No. 156); the cell edges are 2.9858, 2.9858 and 6.1236 Å and the angles 90.00°, 90.00° and 120.00°. Symmetry generates all atoms from Cu at (0.0000, 0.0000, 0.0000), Mo at (0.6667, 0.3333, 0.3461) and As at (0.3333, 0.6667, 0.6532).

Its magnetization is 0.00 μB/cell. The volume is 47.3 Å³/cell. The density of states at the Fermi level is 1.77 states/eV/cell. The calculation puts the formation energy at 0.299 eV per atom.


Density functional theory data (PBE-GGA) for a geometry-optimized NaMgRu3 structure.

The structure belongs to space group Pm-3m (No. 221); the cell edges are 4.609, 4.609 and 4.609 Å and the angles 90.00°, 90.00° and 90.00°. Symmetry generates all atoms from Na at (0.000, 0.000, 0.000), Mg at (0.500, 0.500, 0.500) and Ru at (0.000, 0.000, 0.500).

Its magnetization is 5.90 μB/cell. The volume is 97.9 Å³/cell. The density of states at the Fermi level is 6.49 states/eV/cell. The calculation puts the formation energy at 2.050 eV per atom.


Density functional theory data (PBE-GGA) for a geometry-optimized Ba3Sr2Au2 structure.

The structure belongs to space group C2/m (No. 12); the cell edges are 14.651, 4.397 and 10.652 Å and the angles 90.00°, 116.56° and 90.00°. Symmetry generates all atoms from Ba at (0.000, 0.000, 0.000), Ba at (0.116, 0.000, 0.428), Sr at (0.179, 0.500, 0.810) and Au at (0.180, 0.500, 0.239).

Its magnetization is 0.00 μB/cell. The volume is 613.8 Å³/cell. The density of states at the Fermi level is 14.20 states/eV/cell. The calculation puts the formation energy at -0.459 eV per atom.


Density functional theory data (PBE-GGA) for a geometry-optimized LiPd7Au2 structure.

The structure belongs to space group Cmmm (No. 65); the cell edges are 7.243, 13.462 and 4.173 Å and the angles 90.00°, 90.00° and 90.00°. Symmetry generates all atoms from Li at (0.000, 0.000, 0.000), Pd at (0.000, 0.180, 0.000), Pd at (0.000, 0.500, 0.500), Pd at (0.183, 0.100, 0.500) and Au at (0.000, 0.300, 0.500).

Its magnetization is 1.65 μB/cell. The volume is 406.9 Å³/cell. The density of states at the Fermi level is 39.05 states/eV/cell. The calculation puts the formation energy at 0.372 eV per atom.


Density functional theory data (PBE-GGA) for a geometry-optimized Sc2CrC3 structure.

The structure belongs to space group Pbam (No. 55); the cell edges are 5.795, 14.115 and 3.275 Å and the angles 90.00°, 90.00° and 90.00°. Symmetry generates all atoms from Sc at (0.000, 0.000, 0.000), Sc at (0.000, 0.500, 0.500), Sc at (0.123, 0.188, 0.500), Cr at (0.202, 0.346, 0.000), C at (0.106, 0.721, 0.000), C at (0.137, 0.618, 0.000) and C at (0.181, 0.908, 0.500).

Its magnetization is 0.00 μB/cell. The volume is 267.8 Å³/cell. The density of states at the Fermi level is 11.30 states/eV/cell. The calculation puts the formation energy at -0.416 eV per atom.


Density functional theory data (PBE-GGA) for a geometry-optimized WAu3 structure.

The structure belongs to space group Pm-3m (No. 221); the cell edges are 5.103, 5.103 and 5.103 Å and the angles 90.00°, 90.00° and 90.00°. Symmetry generates all atoms from W at (0.000, 0.000, 0.000) and Au at (0.000, 0.000, 0.500).

Its magnetization is 0.00 μB/cell. The volume is 132.9 Å³/cell. The density of states at the Fermi level is 2.99 states/eV/cell. The calculation puts the formation energy at 1.467 eV per atom.


Density functional theory data (PBE-GGA) for a geometry-optimized CoAs structure.

The structure belongs to space group P4/nmm (No. 129, origin choice 2); the cell edges are 3.301, 3.301 and 4.867 Å and the angles 90.00°, 90.00° and 90.00°. Symmetry generates all atoms from Co at (0.250, 0.250, 0.173) and As at (0.250, 0.250, 0.688).

Its magnetization is 0.00 μB/cell. The volume is 53.0 Å³/cell. The density of states at the Fermi level is 0.79 states/eV/cell. The calculation puts the formation energy at -0.131 eV per atom.


Density functional theory data (PBE-GGA) for a geometry-optimized TcHOsAuN structure.

The structure belongs to space group P1 (No. 1); the cell edges are 2.759, 4.384 and 5.551 Å and the angles 96.97°, 104.30° and 90.11°. Symmetry generates all atoms from Tc at (0.000, 0.000, 0.000), H at (0.676, 0.415, 0.348), Os at (0.431, 0.474, 0.858), Au at (0.261, 0.894, 0.518) and N at (0.588, 0.283, 0.174).

Its magnetization is 0.00 μB/cell. As for the total energy: -6.952 eV per atom. The volume is 64.5 Å³/cell. The density of states at the Fermi level is 3.53 states/eV/cell.


Density functional theory data (PBE-GGA) for a geometry-optimized Sc2NbBi structure.

The structure belongs to space group R-3m (No. 166, hexagonal axes); the cell edges are 3.2844, 3.2844 and 32.1170 Å and the angles 90.00°, 90.00° and 120.00°. Symmetry generates all atoms from Sc at (0.0000, 0.0000, 0.0951), Nb at (0.0000, 0.0000, 0.5000) and Bi at (0.0000, 0.0000, 0.0000).

Its magnetization is 0.00 μB/cell. The volume is 300.0 Å³/cell. The density of states at the Fermi level is 10.59 states/eV/cell. The calculation puts the formation energy at 0.199 eV per atom.


Density functional theory data (PBE-GGA) for a geometry-optimized PrDy2Au3 structure.

The structure belongs to space group P4/mmm (No. 123); the cell edges are 3.618, 3.618 and 11.098 Å and the angles 90.00°, 90.00° and 90.00°. Symmetry generates all atoms from Pr at (0.000, 0.000, 0.000), Dy at (0.000, 0.000, 0.338), Au at (0.500, 0.500, 0.185) and Au at (0.500, 0.500, 0.500).

Its magnetization is 0.00 μB/cell. The volume is 145.2 Å³/cell. The density of states at the Fermi level is 2.69 states/eV/cell. The calculation puts the formation energy at -0.828 eV per atom.


Density functional theory data (PBE-GGA) for a geometry-optimized RbAcGe2 structure.

The structure belongs to space group Fm-3m (No. 225); the cell edges are 7.922, 7.922 and 7.922 Å and the angles 90.00°, 90.00° and 90.00°. Symmetry generates all atoms from Rb at (0.000, 0.000, 0.000), Ac at (0.000, 0.000, 0.500) and Ge at (0.250, 0.250, 0.250).

Its magnetization is 0.00 μB/cell. The volume is 497.2 Å³/cell. The density of states at the Fermi level is 12.35 states/eV/cell. The calculation puts the formation energy at -0.019 eV per atom.


Density functional theory data (PBE-GGA) for a geometry-optimized Ce5Rh2Au2 structure.

The structure belongs to space group Cmce (No. 64); the cell edges are 15.404, 7.636 and 7.643 Å and the angles 90.00°, 90.00° and 90.00°. Symmetry generates all atoms from Ce at (0.000, 0.000, 0.000), Ce at (0.129, 0.177, 0.328), Rh at (0.000, 0.134, 0.636) and Au at (0.214, 0.000, 0.000).

Its magnetization is 16.29 μB/cell. The volume is 899.0 Å³/cell. The density of states at the Fermi level is 113.04 states/eV/cell. The calculation puts the formation energy at -0.583 eV per atom.